A.
Density functional theory data (GGA-PBE) for a relaxed FeSbW2 crystal.

Lattice parameters (Å, degrees): 6.3234 6.3234 6.3234 90.00 90.00 90.00
Space group Fm-3m (No. 225)
Symmetry-distinct sites (fractional):
1 Fe 0.0000 0.0000 0.0000 x4
2 Sb 0.0000 0.0000 0.5000 x4
3 W 0.2500 0.2500 0.2500 x8



B.
Density functional theory data (GGA-PBE) for a relaxed FeSbW2 crystal.

Lattice parameters (Å, degrees): 3.0875 3.0875 24.6571 90.00 90.00 120.00
Space group R3m (No. 160, hexagonal axes)
Symmetry-distinct sites (fractional):
1 Fe 0.0000 0.0000 0.0000 x3
2 Sb 0.0000 0.0000 0.7521 x3
3 W 0.0000 0.0000 0.2586 x3
4 W 0.0000 0.0000 0.5116 x3



The winner here is B, beating the second structure by 170 meV per atom.



A.
Density functional theory data (GGA-PBE) for a relaxed FeSbW2 crystal.

Lattice parameters (Å, degrees): 2.9131 4.3000 5.3302 90.00 101.30 90.00
Space group Pm (No. 6)
Symmetry-distinct sites (fractional):
1 Fe 0.0000 0.0000 0.0000 x1
2 Sb 0.0158 0.5000 0.2665 x1
3 W 0.3555 0.5000 0.7915 x1
4 W 0.5885 0.0000 0.5383 x1



B.
Density functional theory data (GGA-PBE) for a relaxed FeSbW2 crystal.

Lattice parameters (Å, degrees): 3.8100 3.8100 4.4162 90.00 90.00 90.00
Space group P4/mmm (No. 123)
Symmetry-distinct sites (fractional):
1 Fe 0.0000 0.0000 0.0000 x1
2 Sb 0.5000 0.5000 0.0000 x1
3 W 0.0000 0.5000 0.5000 x2



The winner here is A, beating the second structure by 33 meV per atom.



A.
Density functional theory data (GGA-PBE) for a relaxed Fe2Sb2W crystal.

Lattice parameters (Å, degrees): 4.0047 4.0047 10.7828 90.00 90.00 90.00
Space group I4/mmm (No. 139)
Symmetry-distinct sites (fractional):
1 Fe 0.0000 0.0000 0.1008 x4
2 Sb 0.0000 0.5000 0.2500 x4
3 W 0.0000 0.0000 0.5000 x2



B.
Density functional theory data (GGA-PBE) for a relaxed Fe2Sb2W crystal.

Lattice parameters (Å, degrees): 6.7914 6.7914 3.5693 90.00 90.00 90.00
Space group P4/mbm (No. 127)
Symmetry-distinct sites (fractional):
1 Fe 0.1213 0.3787 0.0000 x4
2 Sb 0.1786 0.6786 0.5000 x4
3 W 0.0000 0.0000 0.0000 x2



The winner here is B, beating the second structure by 568 meV per atom.



A.
Density functional theory data (GGA-PBE) for a relaxed FeSb3W crystal.

Lattice parameters (Å, degrees): 4.8846 4.8846 4.8846 90.00 90.00 90.00
Space group Pm-3m (No. 221)
Symmetry-distinct sites (fractional):
1 Fe 0.0000 0.0000 0.0000 x1
2 Sb 0.0000 0.0000 0.5000 x3
3 W 0.5000 0.5000 0.5000 x1



B.
Density functional theory data (GGA-PBE) for a relaxed FeSb3W crystal.

Lattice parameters (Å, degrees): 5.2410 5.2410 5.2410 90.00 90.00 90.00
Space group Pm-3m (No. 221)
Symmetry-distinct sites (fractional):
1 Fe 0.0000 0.0000 0.0000 x1
2 Sb 0.0000 0.5000 0.5000 x3
3 W 0.5000 0.5000 0.5000 x1



The winner here is B, beating the second structure by 65 meV per atom.



A.
Density functional theory data (GGA-PBE) for a relaxed FeSb2W crystal.

Lattice parameters (Å, degrees): 6.7289 6.7289 6.7289 90.00 90.00 90.00
Space group F-43m (No. 216)
Symmetry-distinct sites (fractional):
1 Fe 0.0000 0.0000 0.0000 x4
2 Sb 0.0000 0.0000 0.5000 x4
3 Sb 0.2500 0.2500 0.7500 x4
4 W 0.2500 0.2500 0.2500 x4



B.
Density functional theory data (GGA-PBE) for a relaxed FeSb2W crystal.

Lattice parameters (Å, degrees): 6.2114 6.2114 11.4876 90.00 90.00 90.00
Space group I-42d (No. 122)
Symmetry-distinct sites (fractional):
1 Fe 0.0000 0.0000 0.0000 x4
2 Sb 0.2400 0.2500 0.1250 x8
3 W 0.0000 0.0000 0.5000 x4



The winner here is A, beating the second structure by 200 meV per atom.



A.
Density functional theory data (GGA-PBE) for a relaxed FeSb2W crystal.

Lattice parameters (Å, degrees): 8.5893 3.2754 5.3721 90.00 100.47 90.00
Space group C2/m (No. 12)
Symmetry-distinct sites (fractional):
1 Fe 0.0000 0.0000 0.0000 x2
2 Sb 0.2453 0.0000 0.7504 x4
3 W 0.0000 0.5000 0.5000 x2



B.
Density functional theory data (GGA-PBE) for a relaxed FeSb2W crystal.

Lattice parameters (Å, degrees): 6.5197 6.5197 6.5197 90.00 90.00 90.00
Space group Fm-3m (No. 225)
Symmetry-distinct sites (fractional):
1 Fe 0.0000 0.0000 0.0000 x4
2 Sb 0.2500 0.2500 0.2500 x8
3 W 0.0000 0.0000 0.5000 x4



The winner here is B, beating the second structure by 69 meV per atom.



A.
Density functional theory data (GGA-PBE) for a relaxed YFeSb3 crystal.

Lattice parameters (Å, degrees): 5.0238 5.0238 5.0238 90.00 90.00 90.00
Space group Pm-3m (No. 221)
Symmetry-distinct sites (fractional):
1 Y 0.0000 0.0000 0.0000 x1
2 Fe 0.5000 0.5000 0.5000 x1
3 Sb 0.0000 0.5000 0.5000 x3



B.
Density functional theory data (GGA-PBE) for a relaxed YFeSb3 crystal.

Lattice parameters (Å, degrees): 5.7209 5.7209 5.7209 90.00 90.00 90.00
Space group Pm-3m (No. 221)
Symmetry-distinct sites (fractional):
1 Y 0.0000 0.0000 0.0000 x1
2 Fe 0.5000 0.5000 0.5000 x1
3 Sb 0.0000 0.0000 0.5000 x3



The winner here is A, beating the second structure by 828 meV per atom.



A.
Density functional theory data (GGA-PBE) for a relaxed ZnFe3Sb crystal.

Lattice parameters (Å, degrees): 4.7730 4.7730 4.7730 90.00 90.00 90.00
Space group Pm-3m (No. 221)
Symmetry-distinct sites (fractional):
1 Zn 0.0000 0.0000 0.0000 x1
2 Fe 0.0000 0.5000 0.5000 x3
3 Sb 0.5000 0.5000 0.5000 x1



B.
Density functional theory data (GGA-PBE) for a relaxed ZnFe3Sb crystal.

Lattice parameters (Å, degrees): 4.4455 4.4455 4.4455 90.00 90.00 90.00
Space group Pm-3m (No. 221)
Symmetry-distinct sites (fractional):
1 Zn 0.0000 0.0000 0.0000 x1
2 Fe 0.0000 0.0000 0.5000 x3
3 Sb 0.5000 0.5000 0.5000 x1



The winner here is B, beating the second structure by 348 meV per atom.



A.
Density functional theory data (GGA-PBE) for a relaxed ZnFeSb3 crystal.

Lattice parameters (Å, degrees): 4.9551 4.9551 4.9551 90.00 90.00 90.00
Space group Pm-3m (No. 221)
Symmetry-distinct sites (fractional):
1 Zn 0.0000 0.0000 0.0000 x1
2 Fe 0.5000 0.5000 0.5000 x1
3 Sb 0.0000 0.5000 0.5000 x3



B.
Density functional theory data (GGA-PBE) for a relaxed ZnFeSb3 crystal.

Lattice parameters (Å, degrees): 5.1714 5.1714 5.1714 90.00 90.00 90.00
Space group Pm-3m (No. 221)
Symmetry-distinct sites (fractional):
1 Zn 0.0000 0.0000 0.0000 x1
2 Fe 0.5000 0.5000 0.5000 x1
3 Sb 0.0000 0.0000 0.5000 x3



The winner here is A, beating the second structure by 589 meV per atom.



A.
Density functional theory data (GGA-PBE) for a relaxed ZrFeSb3 crystal.

Lattice parameters (Å, degrees): 4.9818 4.9818 4.9818 90.00 90.00 90.00
Space group Pm-3m (No. 221)
Symmetry-distinct sites (fractional):
1 Zr 0.0000 0.0000 0.0000 x1
2 Fe 0.5000 0.5000 0.5000 x1
3 Sb 0.0000 0.5000 0.5000 x3



B.
Density functional theory data (GGA-PBE) for a relaxed ZrFeSb3 crystal.

Lattice parameters (Å, degrees): 5.5128 5.5128 5.5128 90.00 90.00 90.00
Space group Pm-3m (No. 221)
Symmetry-distinct sites (fractional):
1 Zr 0.0000 0.0000 0.0000 x1
2 Fe 0.5000 0.5000 0.5000 x1
3 Sb 0.0000 0.0000 0.5000 x3



The winner here is A, beating the second structure by 389 meV per atom.



A.
Density functional theory data (GGA-PBE) for a relaxed Sc5Fe3 crystal.

Lattice parameters (Å, degrees): 7.5758 7.5758 5.7848 90.00 90.00 120.00
Space group P6_3/mcm (No. 193)
Symmetry-distinct sites (fractional):
1 Sc 0.0000 0.2563 0.2500 x6
2 Sc 0.3333 0.6667 0.0000 x4
3 Fe 0.0000 0.3976 0.7500 x6



B.
Density functional theory data (GGA-PBE) for a relaxed Sc5Fe3 crystal.

Lattice parameters (Å, degrees): 7.1306 9.2804 4.2670 90.00 90.00 90.00
Space group Cmmm (No. 65)
Symmetry-distinct sites (fractional):
1 Sc 0.0000 0.0000 0.0000 x2
2 Sc 0.2047 0.5000 0.5000 x4
3 Sc 0.2500 0.2500 0.0000 x4
4 Fe 0.0000 0.2150 0.5000 x4
5 Fe 0.0000 0.5000 0.0000 x2



The winner here is A, beating the second structure by 61 meV per atom.



A.
Density functional theory data (GGA-PBE) for a relaxed Sc4Fe3 crystal.

Lattice parameters (Å, degrees): 5.0797 5.0797 5.4004 90.00 90.00 120.00
Space group P6/mmm (No. 191)
Symmetry-distinct sites (fractional):
1 Sc 0.0000 0.0000 0.2431 x2
2 Sc 0.3333 0.6667 0.5000 x2
3 Fe 0.0000 0.5000 0.0000 x3



B.
Density functional theory data (GGA-PBE) for a relaxed Sc4Fe3 crystal.

Lattice parameters (Å, degrees): 3.1226 3.1226 25.8127 90.00 90.00 90.00
Space group I4/mmm (No. 139)
Symmetry-distinct sites (fractional):
1 Sc 0.0000 0.0000 0.0579 x4
2 Sc 0.0000 0.0000 0.3368 x4
3 Fe 0.0000 0.0000 0.2267 x4
4 Fe 0.0000 0.0000 0.5000 x2



The winner here is B, beating the second structure by 100 meV per atom.



A.
Density functional theory data (GGA-PBE) for a relaxed Sc4Fe5 crystal.

Lattice parameters (Å, degrees): 7.8622 7.8622 5.2858 90.00 90.00 120.00
Space group P6_3/mcm (No. 193)
Symmetry-distinct sites (fractional):
1 Sc 0.0000 0.0000 0.0000 x2
2 Sc 0.0000 0.3665 0.2500 x6
3 Fe 0.0000 0.3153 0.7500 x6
4 Fe 0.3333 0.6667 0.0000 x4



B.
Density functional theory data (GGA-PBE) for a relaxed Sc4Fe5 crystal.

Lattice parameters (Å, degrees): 9.2250 9.2250 3.3277 90.00 90.00 90.00
Space group I4/mmm (No. 139)
Symmetry-distinct sites (fractional):
1 Sc 0.0000 0.2955 0.0000 x8
2 Fe 0.0000 0.0000 0.0000 x2
3 Fe 0.1682 0.1682 0.5000 x8



The winner here is B, beating the second structure by 56 meV per atom.